! GGA-PBE InIr3, relaxed; values from VASP
! Space group: No. 194
! Formation enthalpy at 0 K, kJ/mol of atoms: 14.26
&SYSTEM
  ibrav = 0, nat = 8, ntyp = 2
/
ATOMIC_SPECIES
In 114.82 In.upf
Ir 192.22 Ir.upf
ATOMIC_POSITIONS crystal
In 0.333 0.667 0.250
In 0.667 0.333 0.750
Ir 0.838 0.675 0.250
Ir 0.325 0.162 0.250
Ir 0.838 0.162 0.250
Ir 0.162 0.325 0.750
Ir 0.675 0.838 0.750
Ir 0.162 0.838 0.750
CELL_PARAMETERS angstrom
-1.069 3.896 3.989
-4.281 -2.860 -2.394
0.340 -3.203 3.220


! GGA-PBE CsLiNdTe3, relaxed; values from VASP
! Space group: No. 63
! Formation energy without anion corrections, meV/atom: -1110
&SYSTEM
  ibrav = 0, nat = 12, ntyp = 4
/
ATOMIC_SPECIES
Cs 132.91 Cs.upf
Li 6.94 Li.upf
Nd 144.24 Nd.upf
Te 127.60 Te.upf
ATOMIC_POSITIONS crystal
Cs 0.247 0.493 0.250
Cs 0.753 0.507 0.750
Li 0.518 0.037 0.750
Li 0.482 0.963 0.250
Nd 0.000 0.000 0.500
Nd 0.000 0.000 0.000
Te 0.603 0.207 0.094
Te 0.397 0.793 0.906
Te 0.397 0.793 0.594
Te 0.603 0.207 0.406
Te 0.090 0.179 0.750
Te 0.910 0.821 0.250
CELL_PARAMETERS angstrom
-1.487 -3.521 -2.923
2.785 -4.422 7.871
-10.040 0.881 4.047


| no. | calculated volume (Å³/cell) | total moment (μB/f.u.) |
| --- | --- | --- |
| 1 | 127 | 0.0 |
| 2 | 477 | 0.0 |